This record from Alexandria via LeMat-Bulk describes a relaxed structure of BaLaFe2Cu2O11. The functional is GGA+U.

Cell: 5.3513 5.3746 8.4235 Å, 90.00 90.00 90.00°
Closest atoms and distances in Å follow each position.
Atoms (fractional coordinates):
Ba: 0.0000 0.0000 0.0000  12 O 2.69-2.88
La: 0.5000 0.5000 0.0019  12 O 2.65-2.76
Fe: 0.0000 0.5000 0.7565  5 O 1.83-1.92
Fe: 0.5000 0.0000 0.3079  1 O 1.79
Cu: 0.0000 0.5000 0.2511  4 O 1.90
Cu: 0.5000 0.0000 0.7367  6 O 1.82-1.97
O: 0.0000 0.5000 0.9841  1 Fe 1.92
O: 0.2539 0.2718 0.7536  1 Fe 1.83, 1 Cu 1.97
O: 0.2539 0.7282 0.7536  1 Fe 1.83, 1 Cu 1.97
O: 0.2594 0.2605 0.2307  1 Cu 1.90, 1 Fe 2.01
O: 0.2594 0.7395 0.2307  1 Cu 1.90, 1 Fe 2.01
O: 0.5000 0.0000 0.5207  1 Fe 1.79, 1 Cu 1.82
O: 0.5000 0.0000 0.9619  1 Cu 1.90
O: 0.7406 0.2605 0.2307  1 Cu 1.90, 1 Fe 2.01
O: 0.7406 0.7395 0.2307  1 Cu 1.90, 1 Fe 2.01
O: 0.7461 0.2718 0.7536  1 Fe 1.83, 1 Cu 1.97
O: 0.7461 0.7282 0.7536  1 Fe 1.83, 1 Cu 1.97

Results
E_tot: -5.812 eV per atom